No. 1
# KTlZn3 | Alexandria | PBE | relaxed
data_KTlZn3
_space_group_name_H-M_alt 'P m -3 m'
_space_group_IT_number 221
_space_group_name_Hall '-P 4 2 3'
_cell_length_a 5.947
_cell_length_b 5.947
_cell_length_c 5.947
_cell_angle_alpha 90.00
_cell_angle_beta 90.00
_cell_angle_gamma 90.00
loop_
_atom_site_label
_atom_site_fract_x
_atom_site_fract_y
_atom_site_fract_z
_atom_site_occupancy
K1 0.000 0.000 0.000 1
Tl1 0.500 0.500 0.500 1
Zn1 0.000 0.000 0.500 1
# E_form: 3.861 eV per formula unit

No. 2
# Sc4InNi | Alexandria | PBE | relaxed
data_Sc4InNi
_space_group_name_H-M_alt 'P 4/m m m'
_space_group_IT_number 123
_space_group_name_Hall '-P 4 2'
_cell_length_a 4.542
_cell_length_b 4.542
_cell_length_c 6.948
_cell_angle_alpha 90.00
_cell_angle_beta 90.00
_cell_angle_gamma 90.00
loop_
_atom_site_label
_atom_site_fract_x
_atom_site_fract_y
_atom_site_fract_z
_atom_site_occupancy
Sc1 0.000 0.500 0.217 1
In1 0.000 0.000 0.500 1
Ni1 0.500 0.500 0.000 1
# E_form: -0.637 eV per formula unit

No. 3
# KGeP2Cl | Alexandria | PBE | relaxed
data_KGeP2Cl
_space_group_name_H-M_alt 'P 4/m m m'
_space_group_IT_number 123
_space_group_name_Hall '-P 4 2'
_cell_length_a 5.937
_cell_length_b 5.937
_cell_length_c 5.405
_cell_angle_alpha 90.00
_cell_angle_beta 90.00
_cell_angle_gamma 90.00
loop_
_atom_site_label
_atom_site_fract_x
_atom_site_fract_y
_atom_site_fract_z
_atom_site_occupancy
K1 0.000 0.000 0.000 1
Ge1 0.500 0.500 0.500 1
P1 0.000 0.500 0.000 1
Cl1 0.000 0.000 0.500 1
# Energy relative to the elements, uncorrected: 1.282 eV/atom

Number 1: uncorrected energy -0.6849 eV per atom, total moment 0.00 Bohr magnetons per cell, density of states at the Fermi level 1.157 states/eV/atom. Number 2: uncorrected energy -5.7472 eV per atom, total moment 0.00 Bohr magnetons per cell, density of states at the Fermi level 0.825 states/eV/atom. Number 3: uncorrected energy -2.3946 eV per atom, total moment 4.00 Bohr magnetons per cell, density of states at the Fermi level 0.757 states/eV/atom.